Material: K2BeGa
Method: DFT, PBE
State: optimized geometry

abc: 8.098 8.098 8.098
angles: 90.00 90.00 90.00
Space group Fm-3m (No. 225)
Symmetry-distinct sites (fractional):
K (0.250, 0.250, 0.250) [8 per cell]
Be (0.000, 0.000, 0.000) [4 per cell]
Ga (0.000, 0.000, 0.500) [4 per cell]

Properties
Energy relative to the elements = 0.741 eV/atom

---

Material: KMnBeGa2
Method: DFT, PBE
State: optimized geometry

abc: 4.710 4.710 5.713
angles: 90.00 90.00 90.00
Space group P4/mmm (No. 123)
Symmetry-distinct sites (fractional):
K (0.000, 0.000, 0.000) [1 per cell]
Mn (0.500, 0.500, 0.000) [1 per cell]
Be (0.000, 0.000, 0.500) [1 per cell]
Ga (0.000, 0.500, 0.500) [2 per cell]

Properties
Energy relative to the elements = 0.757 eV/atom

---

Material: K2NaBeGa
Method: DFT, PBE
State: optimized geometry

abc: 6.523 6.523 4.371
angles: 90.00 90.00 90.00
Space group P4/mmm (No. 123)
Symmetry-distinct sites (fractional):
K (0.000, 0.500, 0.000) [2 per cell]
Na (0.000, 0.000, 0.500) [1 per cell]
Be (0.500, 0.500, 0.000) [1 per cell]
Ga (0.500, 0.500, 0.500) [1 per cell]

Properties
Energy relative to the elements = 0.269 eV/atom

---

Material: KBeGaO3
Method: DFT, PBE
State: optimized geometry

abc: 7.242 2.976 7.490
angles: 90.00 110.44 90.00
Space group P2_1/m (No. 11)
Symmetry-distinct sites (fractional):
K (0.214, 0.250, 0.240) [2 per cell]
Be (0.087, 0.250, 0.602) [2 per cell]
Ga (0.341, 0.750, 0.864) [2 per cell]
O (0.148, 0.250, 0.832) [2 per cell]
O (0.152, 0.750, 0.537) [2 per cell]
O (0.477, 0.750, 0.147) [2 per cell]

Properties
E_form (uncorrected) = -2.027 eV/atom

---

Material: KBe2GaPd
Method: DFT, PBE
State: optimized geometry

abc: 4.549 4.549 4.771
angles: 90.00 90.00 90.00
Space group P4/mmm (No. 123)
Symmetry-distinct sites (fractional):
K (0.000, 0.000, 0.000) [1 per cell]
Be (0.000, 0.500, 0.500) [2 per cell]
Ga (0.500, 0.500, 0.000) [1 per cell]
Pd (0.500, 0.500, 0.500) [1 per cell]

Properties
Energy relative to the elements = 0.164 eV/atom

---

Material: K2ScBeGa
Method: DFT, PBE
State: optimized geometry

abc: 6.322 6.322 4.317
angles: 90.00 90.00 90.00
Space group P4/mmm (No. 123)
Symmetry-distinct sites (fractional):
K (0.000, 0.500, 0.000) [2 per cell]
Sc (0.000, 0.000, 0.500) [1 per cell]
Be (0.500, 0.500, 0.000) [1 per cell]
Ga (0.500, 0.500, 0.500) [1 per cell]

Properties
Energy relative to the elements = 0.725 eV/atom

---

Material: K2BeGaSe
Method: DFT, PBE
State: optimized geometry

abc: 6.434 6.434 5.122
angles: 90.00 90.00 90.00
Space group P4/mmm (No. 123)
Symmetry-distinct sites (fractional):
K (0.000, 0.500, 0.000) [2 per cell]
Be (0.000, 0.000, 0.500) [1 per cell]
Ga (0.500, 0.500, 0.000) [1 per cell]
Se (0.500, 0.500, 0.500) [1 per cell]

Properties
E_form (uncorrected) = 0.440 eV/atom

---

Material: K2BeGaSn
Method: DFT, PBE
State: optimized geometry

abc: 6.779 6.779 4.492
angles: 90.00 90.00 90.00
Space group P4/mmm (No. 123)
Symmetry-distinct sites (fractional):
K (0.000, 0.500, 0.000) [2 per cell]
Be (0.000, 0.000, 0.500) [1 per cell]
Ga (0.500, 0.500, 0.500) [1 per cell]
Sn (0.000, 0.000, 0.000) [1 per cell]

Properties
Energy relative to the elements = 0.458 eV/atom

---

Material: K2BeGaTe4
Method: DFT, PBE
State: optimized geometry

abc: 7.057 7.060 7.070
angles: 104.59 111.95 111.89
Space group P1 (No. 1)
Symmetry-distinct sites (fractional):
K (0.000, 0.000, 0.000) [1 per cell]
K (0.500, 0.250, 0.750) [1 per cell]
Be (0.001, 0.500, 0.501) [1 per cell]
Ga (0.500, 0.750, 0.250) [1 per cell]
Te (0.086, 0.623, 0.233) [1 per cell]
Te (0.391, 0.767, 0.854) [1 per cell]
Te (0.609, 0.463, 0.376) [1 per cell]
Te (0.913, 0.146, 0.537) [1 per cell]

Properties
E_form (uncorrected) = -0.561 eV/atom

---

Material: K2YBeGa
Method: DFT, PBE
State: optimized geometry

abc: 6.291 6.291 5.611
angles: 90.00 90.00 90.00
Space group P4/mmm (No. 123)
Symmetry-distinct sites (fractional):
K (0.000, 0.500, 0.000) [2 per cell]
Y (0.000, 0.000, 0.500) [1 per cell]
Be (0.500, 0.500, 0.500) [1 per cell]
Ga (0.000, 0.000, 0.000) [1 per cell]

Properties
Energy relative to the elements = 0.882 eV/atom

---

Material: LaBeGa
Method: DFT, PBE
State: optimized geometry

abc: 4.127 4.288 14.544
angles: 90.00 90.00 90.00
Space group Imm2 (No. 44)
Symmetry-distinct sites (fractional):
La (0.000, 0.000, 0.000) [2 per cell]
La (0.000, 0.000, 0.227) [2 per cell]
Be (0.000, 0.000, 0.792) [2 per cell]
Be (0.000, 0.500, 0.358) [2 per cell]
Ga (0.000, 0.000, 0.435) [2 per cell]
Ga (0.000, 0.000, 0.622) [2 per cell]

Properties
Energy relative to the elements = -0.193 eV/atom

---

Material: LaBeGa
Method: DFT, PBE
State: optimized geometry

abc: 4.191 4.191 14.833
angles: 90.00 90.00 90.00
Space group I-4m2 (No. 119)
Symmetry-distinct sites (fractional):
La (0.000, 0.000, 0.000) [2 per cell]
La (0.000, 0.500, 0.250) [2 per cell]
Be (0.000, 0.000, 0.422) [4 per cell]
Ga (0.000, 0.500, 0.660) [4 per cell]

Properties
Energy relative to the elements = -0.280 eV/atom

---

Material: LaBeGa2
Method: DFT, PBE
State: optimized geometry

abc: 6.933 6.933 6.933
angles: 90.00 90.00 90.00
Space group Fm-3m (No. 225)
Symmetry-distinct sites (fractional):
La (0.000, 0.000, 0.000) [4 per cell]
Be (0.000, 0.000, 0.500) [4 per cell]
Ga (0.250, 0.250, 0.250) [8 per cell]

Properties
Energy relative to the elements = -0.061 eV/atom

---

Material: LaBeGa
Method: DFT, PBE
State: optimized geometry

abc: 4.307 4.307 6.872
angles: 90.00 90.00 90.00
Space group P4/nmm (No. 129, origin choice 2)
Symmetry-distinct sites (fractional):
La (0.250, 0.250, 0.204) [2 per cell]
Be (0.250, 0.750, 0.500) [2 per cell]
Ga (0.250, 0.250, 0.687) [2 per cell]

Properties
Energy relative to the elements = -0.357 eV/atom

---

Material: LaBeGa
Method: DFT, PBE
State: optimized geometry

abc: 4.680 5.601 5.727
angles: 88.98 89.02 65.35
Space group P1 (No. 1)
Symmetry-distinct sites (fractional):
La (0.000, 0.000, 0.000) [1 per cell]
La (0.241, 0.527, 0.480) [1 per cell]
Be (0.547, 0.914, 0.481) [1 per cell]
Be (0.718, 0.581, 0.206) [1 per cell]
Ga (0.702, 0.593, 0.817) [1 per cell]
Ga (0.922, 0.164, 0.492) [1 per cell]

Properties
Energy relative to the elements = -0.137 eV/atom

---

Material: LaBeGa
Method: DFT, PBE
State: optimized geometry

abc: 4.075 5.663 6.150
angles: 90.93 109.23 111.08
Space group P1 (No. 1)
Symmetry-distinct sites (fractional):
La (0.000, 0.000, 0.000) [1 per cell]
La (0.455, 0.564, 0.341) [1 per cell]
Be (0.292, 0.984, 0.599) [1 per cell]
Be (0.601, 0.371, 0.829) [1 per cell]
Ga (0.181, 0.588, 0.773) [1 per cell]
Ga (0.816, 0.153, 0.478) [1 per cell]

Properties
Energy relative to the elements = -0.300 eV/atom

---

Material: LaBeGa
Method: DFT, PBE
State: optimized geometry

abc: 3.888 6.170 6.396
angles: 116.12 107.66 90.12
Space group P1 (No. 1)
Symmetry-distinct sites (fractional):
La (0.000, 0.000, 0.000) [1 per cell]
La (0.359, 0.389, 0.719) [1 per cell]
Be (0.070, 0.587, 0.140) [1 per cell]
Be (0.648, 0.828, 0.296) [1 per cell]
Ga (0.277, 0.832, 0.554) [1 per cell]
Ga (0.660, 0.458, 0.320) [1 per cell]

Properties
Energy relative to the elements = -0.195 eV/atom

---

Material: LaBeGa
Method: DFT, PBE
State: optimized geometry

abc: 6.832 6.832 6.832
angles: 90.00 90.00 90.00
Space group F-43m (No. 216)
Symmetry-distinct sites (fractional):
La (0.000, 0.000, 0.000) [4 per cell]
Be (0.250, 0.250, 0.750) [4 per cell]
Ga (0.250, 0.250, 0.250) [4 per cell]

Properties
Energy relative to the elements = 0.491 eV/atom

---

Material: LaBeGa
Method: DFT, PBE
State: optimized geometry

abc: 5.700 7.599 5.943
angles: 90.00 90.00 90.00
Space group Cmcm (No. 63)
Symmetry-distinct sites (fractional):
La (0.000, 0.137, 0.250) [4 per cell]
Be (0.000, 0.268, 0.750) [4 per cell]
Ga (0.000, 0.500, 0.000) [4 per cell]

Properties
Energy relative to the elements = -0.139 eV/atom

---

Material: La2Be2Ga
Method: DFT, PBE
State: optimized geometry

abc: 6.743 6.743 4.634
angles: 90.00 90.00 90.00
Space group P4/mbm (No. 127)
Symmetry-distinct sites (fractional):
La (0.175, 0.325, 0.000) [4 per cell]
Be (0.120, 0.620, 0.500) [4 per cell]
Ga (0.000, 0.000, 0.500) [2 per cell]

Properties
Energy relative to the elements = -0.067 eV/atom